LiGdSnPt: relaxed, PBE-GGA.

Values from the calculation:
- Space group: F-43m (216)
- Energy relative to the lowest polymorph listed for this composition: 0.267 eV per atom

```
data_LiGdSnPt
_chemical_formula_sum 'Li1 Gd1 Sn1 Pt1'
_symmetry_space_group_name_H-M 'P 1'
_symmetry_Int_Tables_number 1
_cell_length_a 4.904
_cell_length_b 4.904
_cell_length_c 4.904
_cell_angle_alpha 60.00
_cell_angle_beta 60.00
_cell_angle_gamma 60.00
loop_
_symmetry_equiv_pos_as_xyz
'x,y,z'
loop_
_atom_site_label
_atom_site_type_symbol
_atom_site_fract_x
_atom_site_fract_y
_atom_site_fract_z
_atom_site_occupancy
Gd1 Gd 0.250 0.250 0.250 1
Li1 Li 0.750 0.750 0.750 1
Pt1 Pt 0.000 0.000 0.000 1
Sn1 Sn 0.500 0.500 0.500 1
```

***

RbPdS2O8: relaxed, PBE-GGA.

Values from the calculation:
- Space group: C2/m (12)
- Total DFT energy (no corrections): -5.713 eV per atom

```
data_RbPdS2O8
_chemical_formula_sum 'Rb1 Pd1 S2 O8'
_symmetry_space_group_name_H-M 'P 1'
_symmetry_Int_Tables_number 1
_cell_length_a 4.758
_cell_length_b 4.758
_cell_length_c 7.994
_cell_angle_alpha 95.83
_cell_angle_beta 95.83
_cell_angle_gamma 66.97
loop_
_symmetry_equiv_pos_as_xyz
'x,y,z'
loop_
_atom_site_label
_atom_site_type_symbol
_atom_site_fract_x
_atom_site_fract_y
_atom_site_fract_z
_atom_site_occupancy
O1 O 0.761 0.761 0.042 1
O2 O 0.766 0.225 0.196 1
O3 O 0.225 0.766 0.196 1
O4 O 0.807 0.807 0.357 1
O5 O 0.193 0.193 0.643 1
O6 O 0.775 0.234 0.804 1
O7 O 0.234 0.775 0.804 1
O8 O 0.239 0.239 0.958 1
Pd1 Pd 0.500 0.500 0.000 1
Rb1 Rb 0.500 0.500 0.500 1
S1 S 0.882 0.882 0.201 1
S2 S 0.118 0.118 0.799 1
```

***

PrIn6Ni4: relaxed, PBE-GGA.

Values from the calculation:
- Space group: I-42m (121)
- Total DFT energy (no corrections): -4.247 eV per atom

```
data_PrIn6Ni4
_chemical_formula_sum 'Pr1 In6 Ni4'
_symmetry_space_group_name_H-M 'P 1'
_symmetry_Int_Tables_number 1
_cell_length_a 6.776
_cell_length_b 6.776
_cell_length_c 6.776
_cell_angle_alpha 120.20
_cell_angle_beta 120.20
_cell_angle_gamma 89.66
loop_
_symmetry_equiv_pos_as_xyz
'x,y,z'
loop_
_atom_site_label
_atom_site_type_symbol
_atom_site_fract_x
_atom_site_fract_y
_atom_site_fract_z
_atom_site_occupancy
In1 In 0.892 0.527 0.000 1
In2 In 0.527 0.892 0.000 1
In3 In 0.473 0.473 0.365 1
In4 In 0.500 0.000 0.500 1
In5 In 0.000 0.500 0.500 1
In6 In 0.108 0.108 0.635 1
Ni1 Ni 0.592 0.267 0.000 1
Ni2 Ni 0.267 0.592 0.000 1
Ni3 Ni 0.733 0.733 0.325 1
Ni4 Ni 0.408 0.408 0.675 1
Pr1 Pr 0.000 0.000 0.000 1
```

***

PtAu: relaxed, PBE-GGA.

Values from the calculation:
- Space group: P-6m2 (187)
- Energy of formation: 62 meV per atom

```
data_PtAu
_chemical_formula_sum 'Pt1 Au1'
_symmetry_space_group_name_H-M 'P 1'
_symmetry_Int_Tables_number 1
_cell_length_a 2.827
_cell_length_b 2.827
_cell_length_c 4.752
_cell_angle_alpha 90.00
_cell_angle_beta 90.00
_cell_angle_gamma 120.00
loop_
_symmetry_equiv_pos_as_xyz
'x,y,z'
loop_
_atom_site_label
_atom_site_type_symbol
_atom_site_fract_x
_atom_site_fract_y
_atom_site_fract_z
_atom_site_occupancy
Au1 Au 0.667 0.333 0.750 1
Pt1 Pt 0.333 0.667 0.250 1
```

***

ErTmSi2Pt: relaxed, PBE-GGA.

Values from the calculation:
- Space group: C2/m (12)
- Total DFT energy (no corrections): -6.232 eV per atom

```
data_ErTmSi2Pt
_chemical_formula_sum 'Er2 Tm2 Si4 Pt2'
_symmetry_space_group_name_H-M 'P 1'
_symmetry_Int_Tables_number 1
_cell_length_a 5.544
_cell_length_b 5.544
_cell_length_c 10.050
_cell_angle_alpha 115.35
_cell_angle_beta 115.35
_cell_angle_gamma 45.19
loop_
_symmetry_equiv_pos_as_xyz
'x,y,z'
loop_
_atom_site_label
_atom_site_type_symbol
_atom_site_fract_x
_atom_site_fract_y
_atom_site_fract_z
_atom_site_occupancy
Er1 Er 0.188 0.188 0.108 1
Er2 Er 0.812 0.812 0.892 1
Pt1 Pt 0.728 0.728 0.344 1
Pt2 Pt 0.272 0.272 0.656 1
Si1 Si 0.481 0.481 0.113 1
Si2 Si 0.361 0.361 0.443 1
Si3 Si 0.639 0.639 0.557 1
Si4 Si 0.519 0.519 0.887 1
Tm1 Tm 0.007 0.007 0.325 1
Tm2 Tm 0.993 0.993 0.675 1
```

***

SrLi4Au2: relaxed, PBE-GGA.

Values from the calculation:
- Space group: P4_2/mnm (136)
- Total DFT energy (no corrections): -2.744 eV per atom

```
data_SrLi4Au2
_chemical_formula_sum 'Sr2 Li8 Au4'
_symmetry_space_group_name_H-M 'P 1'
_symmetry_Int_Tables_number 1
_cell_length_a 8.065
_cell_length_b 8.065
_cell_length_c 4.349
_cell_angle_alpha 90.00
_cell_angle_beta 90.00
_cell_angle_gamma 90.00
loop_
_symmetry_equiv_pos_as_xyz
'x,y,z'
loop_
_atom_site_label
_atom_site_type_symbol
_atom_site_fract_x
_atom_site_fract_y
_atom_site_fract_z
_atom_site_occupancy
Au1 Au 0.718 0.282 0.000 1
Au2 Au 0.282 0.718 0.000 1
Au3 Au 0.218 0.218 0.500 1
Au4 Au 0.782 0.782 0.500 1
Li1 Li 0.407 0.155 0.000 1
Li2 Li 0.155 0.407 0.000 1
Li3 Li 0.845 0.593 0.000 1
Li4 Li 0.593 0.845 0.000 1
Li5 Li 0.655 0.093 0.500 1
Li6 Li 0.907 0.345 0.500 1
Li7 Li 0.093 0.655 0.500 1
Li8 Li 0.345 0.907 0.500 1
Sr1 Sr 0.000 0.000 0.000 1
Sr2 Sr 0.500 0.500 0.500 1
```